No. 1
A geometry-optimized CsLiAc2Se4 structure, computed with GGA-PBE.

The crystal system is orthorhombic. The space group is Cmcm (63). The energy relative to the elements, uncorrected is -1786 meV/atom. Its magnetic moment is 0.000 μB/f.u.

Unit cell a=4.567 b=8.038 c=15.572 alpha=90.00 beta=90.00 gamma=106.51
Atoms (fractional coordinates):
Se1 0.741 0.482 0.610
Se2 0.259 0.518 0.390
Se3 0.000 0.000 0.000
Se4 0.000 0.000 0.500
Se5 0.417 0.833 0.750
Se6 0.741 0.482 0.890
Se7 0.583 0.167 0.250
Se8 0.259 0.518 0.110
Ac1 0.366 0.732 0.941
Ac2 0.366 0.732 0.559
Ac3 0.634 0.268 0.059
Ac4 0.634 0.268 0.441
Li1 0.832 0.664 0.750
Li2 0.168 0.336 0.250
Cs1 0.105 0.210 0.750
Cs2 0.895 0.790 0.250


No. 2
A geometry-optimized CsLiAcSe2 structure, computed with GGA-PBE.

The crystal system is orthorhombic. The space group is Cmme (67). The energy relative to the elements, uncorrected is -1220 meV/atom. Its magnetic moment is 0.000 μB/f.u.

Unit cell a=5.171 b=9.351 c=9.921 alpha=118.12 beta=90.00 gamma=90.00
Atoms (fractional coordinates):
Se1 0.658 0.604 0.207
Se2 0.342 0.104 0.207
Se3 0.342 0.396 0.793
Se4 0.658 0.896 0.793
Cs1 0.163 0.750 0.500
Cs2 0.837 0.250 0.500
Ac1 0.500 0.250 0.000
Ac2 0.500 0.750 0.000
Li1 0.000 0.000 0.000
Li2 0.000 0.500 0.000


No. 3
A geometry-optimized CsLiAcTe2 structure, computed with GGA-PBE.

The crystal system is orthorhombic. The space group is Cmme (67). The energy relative to the elements, uncorrected is -950 meV/atom. Its magnetic moment is 0.366 μB/f.u.

Unit cell a=7.227 b=7.284 c=9.255 alpha=113.18 beta=90.00 gamma=90.00
Site moments in Bohr magnetons follow the coordinates.
Atoms (fractional coordinates):
Te1 0.240 0.118 0.237  0.00
Te2 0.760 0.618 0.237  0.00
Te3 0.240 0.382 0.763  0.00
Te4 0.760 0.882 0.763  0.00
Li1 0.000 0.500 0.000  0.01
Li2 0.000 0.000 0.000  0.01
Ac1 0.500 0.250 0.000  0.06
Ac2 0.500 0.750 0.000  0.06
Cs1 0.766 0.250 0.500  0.01
Cs2 0.234 0.750 0.500  0.01